(1)
A crystal of ZrTaIr2 relaxed with PBEsol. Source: the Alexandria database, functional meta-GGA SCAN.

a = 9.724 Å, b = 2.870 Å, c = 4.820 Å
α = 90.00°, β = 99.79°, γ = 90.00°
Sites, in units of the cell vectors:
1 Zr 0.000 0.000 0.000
2 Zr 0.500 0.500 0.000
3 Ta 0.281 0.500 0.347
4 Ta 0.781 0.000 0.347
5 Ir 0.024 0.500 0.504
6 Ir 0.248 0.000 0.828
7 Ir 0.524 0.000 0.504
8 Ir 0.748 0.500 0.828

Its symmetry is Cm (8). The magnetization is 0.00 μB/f.u. The volume comes out at 16.6 Å³ per atom. For the formation enthalpy at 0 K, the calculation gives -0.68 eV/atom.

***

(2)
A crystal of ZrTaIr2 relaxed with PBEsol. Source: the Alexandria database, functional meta-GGA SCAN.

a = 4.785 Å, b = 4.785 Å, c = 2.896 Å
α = 90.00°, β = 90.00°, γ = 90.00°
Sites, in units of the cell vectors:
1 Zr 0.000 0.000 0.000
2 Ta 0.500 0.500 0.000
3 Ir 0.000 0.500 0.500
4 Ir 0.500 0.000 0.500

Its symmetry is P4/mmm (123). The magnetization is 0.00 μB/f.u. The volume comes out at 16.6 Å³ per atom. For the formation enthalpy at 0 K, the calculation gives -0.74 eV/atom.